Entry 1:
Density functional theory data (PBE) for Pu3ZnAu2 after structural relaxation.

As for the formation energy: -0.2654 eV per atom. The density of states at the Fermi level comes out at 3.407 states/eV per atom.

The structure belongs to space group P4/mmm (No. 123); the cell edges are 3.281, 3.281 and 12.742 Å and the angles 90.00°, 90.00° and 90.00°. The asymmetric unit holds Pu at (0.000, 0.000, 0.000), Pu at (0.000, 0.000, 0.335), Zn at (0.500, 0.500, 0.500) and Au at (0.500, 0.500, 0.168).

Entry 2:
Density functional theory data (PBE) for LiCeUN3 after structural relaxation.

The density of states at the Fermi level comes out at 1.263 states/eV per atom. The calculation puts the raw formation energy at -1.15 eV per atom.

The structure belongs to space group P2_1/m (No. 11); the cell edges are 6.913, 3.450 and 7.165 Å and the angles 90.00°, 102.61° and 90.00°. The asymmetric unit holds Li at (0.083, 0.250, 0.074), Ce at (0.285, 0.750, 0.821), U at (0.317, 0.750, 0.332), N at (0.014, 0.750, 0.204), N at (0.366, 0.250, 0.576) and N at (0.367, 0.250, 0.122).